No. 1
Material: LiCdN
Method: DFT, PBE
State: optimized geometry

Cell lengths 6.471, 6.471, 3.541 Å; angles 90.00, 90.00, 120.00 degrees
Element x y z (fractional)
Li  0.000  0.402  0.000
Li  0.402  0.000  0.000
Li  0.598  0.598  0.000
Cd  0.000  0.000  0.000
Cd  0.333  0.667  0.500
Cd  0.667  0.333  0.500
N  0.000  0.298  0.500
N  0.298  0.000  0.500
N  0.702  0.702  0.500

Summary:
As for the space group: No. 189. The total energy comes out at -3.36 eV/atom. The mass density is 5.2 g/cm3.


No. 2
Material: NaLiHo
Method: DFT, PBE
State: optimized geometry

Cell lengths 5.247, 5.247, 5.247 Å; angles 60.00, 60.00, 60.00 degrees
Element x y z (fractional)
Na  0.000  0.000  0.000
Li  0.500  0.500  0.500
Ho  0.250  0.250  0.250

Summary:
As for the space group: No. 216. For the relative energy among the computed polymorphs, the calculation gives 248 meV/atom. The mass density is 3.2 g/cm3.


No. 3
Material: TmBPt
Method: DFT, PBE
State: optimized geometry

Cell lengths 4.389, 4.389, 4.389 Å; angles 60.00, 60.00, 60.00 degrees
Element x y z (fractional)
Tm  0.000  0.000  0.000
B  0.750  0.750  0.750
Pt  0.250  0.250  0.250

Summary:
As for the space group: No. 216. For the relative energy among the computed polymorphs, the calculation gives 814 meV/atom. The mass density is 10.4 g/cm3.


No. 4
Material: TmTaGe
Method: DFT, PBE
State: optimized geometry

Cell lengths 4.008, 4.008, 7.711 Å; angles 90.00, 90.00, 90.00 degrees
Element x y z (fractional)
Tm  0.250  0.250  0.149
Tm  0.750  0.750  0.851
Ta  0.250  0.750  0.500
Ta  0.750  0.250  0.500
Ge  0.250  0.250  0.751
Ge  0.750  0.750  0.249

Summary:
As for the space group: No. 129. The total energy comes out at -7.57 eV/atom. The mass density is 11.3 g/cm3.


No. 5
Material: BeOs2
Method: DFT, PBE
State: optimized geometry

Cell lengths 6.574, 6.574, 6.574 Å; angles 60.00, 60.00, 60.00 degrees
Element x y z (fractional)
Be  0.125  0.125  0.125
Be  0.875  0.875  0.875
Os  0.000  0.000  0.000
Os  0.000  0.000  0.500
Os  0.000  0.500  0.000
Os  0.500  0.000  0.000

Summary:
As for the space group: No. 227. The total energy comes out at -5.03 eV/atom. The mass density is 6.4 g/cm3.


No. 6
Material: ScCoCuSn
Method: DFT, PBE
State: optimized geometry

Cell lengths 4.480, 4.480, 4.480 Å; angles 60.00, 60.00, 60.00 degrees
Element x y z (fractional)
Sc  0.000  0.000  0.000
Co  0.500  0.500  0.500
Cu  0.750  0.750  0.750
Sn  0.250  0.250  0.250

Summary:
As for the space group: No. 216. For the relative energy among the computed polymorphs, the calculation gives 173 meV/atom. The mass density is 7.5 g/cm3.


No. 7
Material: PmZrNi
Method: DFT, PBE
State: optimized geometry

Cell lengths 4.632, 4.632, 4.632 Å; angles 60.00, 60.00, 60.00 degrees
Element x y z (fractional)
Pm  0.000  0.000  0.000
Zr  0.500  0.500  0.500
Ni  0.250  0.250  0.250

Summary:
As for the space group: No. 216. The value obtained for the formation energy is 0.1121 eV per atom. For the relative energy among the computed polymorphs, the calculation gives 0 meV/atom. The mass density is 7.0 g/cm3.


No. 8
Material: HgPd
Method: DFT, PBE
State: optimized geometry

Cell lengths 3.872, 3.872, 3.872 Å; angles 60.00, 60.00, 60.00 degrees
Element x y z (fractional)
Hg  0.000  0.000  0.000
Pd  0.500  0.500  0.500

Summary:
As for the space group: No. 225. The value obtained for the formation energy is 0.0303 eV per atom. The mass density is 12.4 g/cm3.


What did the first record say?
Material: LiCdN
Method: DFT, PBE
State: optimized geometry

Cell lengths 6.471, 6.471, 3.541 Å; angles 90.00, 90.00, 120.00 degrees
Element x y z (fractional)
Li  0.000  0.402  0.000
Li  0.402  0.000  0.000
Li  0.598  0.598  0.000
Cd  0.000  0.000  0.000
Cd  0.333  0.667  0.500
Cd  0.667  0.333  0.500
N  0.000  0.298  0.500
N  0.298  0.000  0.500
N  0.702  0.702  0.500

Summary:
As for the space group: No. 189. The total energy comes out at -3.36 eV/atom. The mass density is 5.2 g/cm3.